(1)
# Bi3Te5Pb SCAN PBEsol geometry
# Density of states at the Fermi level (states/eV per atom): 0.348
# Calculated volume (A^3/atom): 33.434
data_Bi3Te5Pb
_symmetry_space_group_name_H-M 'P 3 m 1'
_symmetry_Int_Tables_number 156
_cell_length_a 4.5566
_cell_length_b 4.5566
_cell_length_c 16.7351
_cell_angle_alpha 90.00
_cell_angle_beta 90.00
_cell_angle_gamma 120.00
loop_
_symmetry_equiv_pos_as_xyz
'x,y,z'
'-y,x-y,z'
'-x+y,-x,z'
'-y,-x,z'
'-x+y,y,z'
'x,x-y,z'
loop_
_atom_site_label
_atom_site_type_symbol
_atom_site_fract_x
_atom_site_fract_y
_atom_site_fract_z
_atom_site_occupancy
Bi1 Bi 0.0000 0.0000 0.0000 1
Bi2 Bi 0.3333 0.6667 0.4428 1
Bi3 Bi 0.6667 0.3333 0.2197 1
Te1 Te 0.0000 0.0000 0.3210 1
Te2 Te 0.0000 0.0000 0.6759 1
Te3 Te 0.3333 0.6667 0.1122 1
Te4 Te 0.6667 0.3333 0.5363 1
Te5 Te 0.6667 0.3333 0.9034 1
Pb1 Pb 0.3333 0.6667 0.7695 1



(2)
# Bi2Te5Pb2 SCAN PBEsol geometry
# Density of states at the Fermi level (states/eV per atom): 0.079
# Calculated volume (A^3/atom): 33.818
data_Bi2Te5Pb2
_symmetry_space_group_name_H-M 'P -3 m 1'
_symmetry_Int_Tables_number 164
_symmetry_space_group_name_Hall '-P 3 2"'
_cell_length_a 4.4361
_cell_length_b 4.4361
_cell_length_c 17.8590
_cell_angle_alpha 90.00
_cell_angle_beta 90.00
_cell_angle_gamma 120.00
loop_
_atom_site_label
_atom_site_type_symbol
_atom_site_fract_x
_atom_site_fract_y
_atom_site_fract_z
_atom_site_occupancy
Bi1 Bi 0.3333 0.6667 0.1103 1
Te1 Te 0.0000 0.0000 0.0000 1
Te2 Te 0.3333 0.6667 0.4287 1
Te3 Te 0.3333 0.6667 0.7945 1
Pb1 Pb 0.0000 0.0000 0.3389 1



(3)
# Ti2BiPb SCAN PBEsol geometry
# Density of states at the Fermi level (states/eV per atom): 1.468
# Formation energy (eV/atom): 0.06
# Calculated volume (A^3/atom): 20.638
data_Ti2BiPb
_symmetry_space_group_name_H-M 'F m -3 m'
_symmetry_Int_Tables_number 225
_symmetry_space_group_name_Hall '-F 4 2 3'
_cell_length_a 6.912
_cell_length_b 6.912
_cell_length_c 6.912
_cell_angle_alpha 90.00
_cell_angle_beta 90.00
_cell_angle_gamma 90.00
loop_
_atom_site_label
_atom_site_type_symbol
_atom_site_fract_x
_atom_site_fract_y
_atom_site_fract_z
_atom_site_occupancy
Ti1 Ti 0.250 0.250 0.250 1
Bi1 Bi 0.000 0.000 0.000 1
Pb1 Pb 0.000 0.000 0.500 1



(4)
# ZrBi2PbW SCAN PBEsol geometry
# Density of states at the Fermi level (states/eV per atom): 1.007
# Formation energy (eV/atom): 1.14
# Calculated volume (A^3/atom): 30.006
data_ZrBi2PbW
_symmetry_space_group_name_H-M 'P 4/m m m'
_symmetry_Int_Tables_number 123
_symmetry_space_group_name_Hall '-P 4 2'
_cell_length_a 5.328
_cell_length_b 5.328
_cell_length_c 5.285
_cell_angle_alpha 90.00
_cell_angle_beta 90.00
_cell_angle_gamma 90.00
loop_
_atom_site_label
_atom_site_type_symbol
_atom_site_fract_x
_atom_site_fract_y
_atom_site_fract_z
_atom_site_occupancy
Zr1 Zr 0.000 0.000 0.000 1
Bi1 Bi 0.000 0.500 0.500 1
Pb1 Pb 0.500 0.500 0.000 1
W1 W 0.500 0.500 0.500 1



(5)
# YBi3Pb SCAN PBEsol geometry
# Density of states at the Fermi level (states/eV per atom): 0.925
# Formation energy (eV/atom): 0.58
# Calculated volume (A^3/atom): 37.662
data_YBi3Pb
_symmetry_space_group_name_H-M 'P m -3 m'
_symmetry_Int_Tables_number 221
_symmetry_space_group_name_Hall '-P 4 2 3'
_cell_length_a 5.732
_cell_length_b 5.732
_cell_length_c 5.732
_cell_angle_alpha 90.00
_cell_angle_beta 90.00
_cell_angle_gamma 90.00
loop_
_atom_site_label
_atom_site_type_symbol
_atom_site_fract_x
_atom_site_fract_y
_atom_site_fract_z
_atom_site_occupancy
Y1 Y 0.000 0.000 0.000 1
Bi1 Bi 0.000 0.500 0.500 1
Pb1 Pb 0.500 0.500 0.500 1



(6)
# YZnBiPb2 SCAN PBEsol geometry
# Density of states at the Fermi level (states/eV per atom): 0.788
# Formation energy (eV/atom): 0.53
# Calculated volume (A^3/atom): 34.923
data_YZnBiPb2
_symmetry_space_group_name_H-M 'P 4/m m m'
_symmetry_Int_Tables_number 123
_symmetry_space_group_name_Hall '-P 4 2'
_cell_length_a 5.893
_cell_length_b 5.893
_cell_length_c 5.028
_cell_angle_alpha 90.00
_cell_angle_beta 90.00
_cell_angle_gamma 90.00
loop_
_atom_site_label
_atom_site_type_symbol
_atom_site_fract_x
_atom_site_fract_y
_atom_site_fract_z
_atom_site_occupancy
Y1 Y 0.000 0.000 0.000 1
Zn1 Zn 0.500 0.500 0.000 1
Bi1 Bi 0.500 0.500 0.500 1
Pb1 Pb 0.000 0.500 0.500 1



(7)
# Zn2BiPb2 SCAN PBEsol geometry
# Density of states at the Fermi level (states/eV per atom): 0.417
# Formation energy (eV/atom): 0.15
# Calculated volume (A^3/atom): 24.366
data_Zn2BiPb2
_symmetry_space_group_name_H-M 'P 4/m b m'
_symmetry_Int_Tables_number 127
_symmetry_space_group_name_Hall '-P 4 2ab'
_cell_length_a 7.530
_cell_length_b 7.530
_cell_length_c 4.297
_cell_angle_alpha 90.00
_cell_angle_beta 90.00
_cell_angle_gamma 90.00
loop_
_atom_site_label
_atom_site_type_symbol
_atom_site_fract_x
_atom_site_fract_y
_atom_site_fract_z
_atom_site_occupancy
Zn1 Zn 0.119 0.381 0.000 1
Bi1 Bi 0.000 0.000 0.000 1
Pb1 Pb 0.180 0.680 0.500 1



(8)
# BiPd SCAN PBEsol geometry
# Density of states at the Fermi level (states/eV per atom): 0.435
# Formation energy (eV/atom): -0.25
# Calculated volume (A^3/atom): 20.777
data_BiPd
_symmetry_space_group_name_H-M 'P 1 21/c 1'
_symmetry_Int_Tables_number 14
_cell_length_a 5.600
_cell_length_b 10.680
_cell_length_c 5.651
_cell_angle_alpha 90.00
_cell_angle_beta 100.38
_cell_angle_gamma 90.00
loop_
_symmetry_equiv_pos_as_xyz
'x,y,z'
'-x,-y,-z'
'-x,y+1/2,-z+1/2'
'x,-y+1/2,z+1/2'
loop_
_atom_site_label
_atom_site_type_symbol
_atom_site_fract_x
_atom_site_fract_y
_atom_site_fract_z
_atom_site_occupancy
Bi1 Bi 0.116 0.140 0.412 1
Bi2 Bi 0.351 0.645 0.649 1
Pd1 Pd 0.169 0.089 0.932 1
Pd2 Pd 0.404 0.581 0.163 1



(9)
# BiPd SCAN PBEsol geometry
# Density of states at the Fermi level (states/eV per atom): 0.492
# Formation energy (eV/atom): -0.30
# Calculated volume (A^3/atom): 22.028
data_BiPd
_symmetry_space_group_name_H-M 'P 63/m m c'
_symmetry_Int_Tables_number 194
_symmetry_space_group_name_Hall '-P 6c 2c'
_cell_length_a 4.2560
_cell_length_b 4.2560
_cell_length_c 5.6170
_cell_angle_alpha 90.00
_cell_angle_beta 90.00
_cell_angle_gamma 120.00
loop_
_atom_site_label
_atom_site_type_symbol
_atom_site_fract_x
_atom_site_fract_y
_atom_site_fract_z
_atom_site_occupancy
Bi1 Bi 0.3333 0.6667 0.2500 1
Pd1 Pd 0.0000 0.0000 0.0000 1



(10)
# Bi3Pd5 SCAN PBEsol geometry
# Density of states at the Fermi level (states/eV per atom): 0.632
# Formation energy (eV/atom): -0.17
# Calculated volume (A^3/atom): 20.661
data_Bi3Pd5
_symmetry_space_group_name_H-M 'P -6 m 2'
_symmetry_Int_Tables_number 187
_symmetry_space_group_name_Hall 'P -6 2'
_cell_length_a 4.1952
_cell_length_b 4.1952
_cell_length_c 10.8446
_cell_angle_alpha 90.00
_cell_angle_beta 90.00
_cell_angle_gamma 120.00
loop_
_atom_site_label
_atom_site_type_symbol
_atom_site_fract_x
_atom_site_fract_y
_atom_site_fract_z
_atom_site_occupancy
Bi1 Bi 0.0000 0.0000 0.0000 1
Bi2 Bi 0.6667 0.3333 0.2739 1
Pd1 Pd 0.0000 0.0000 0.5000 1
Pd2 Pd 0.3333 0.6667 0.1286 1
Pd3 Pd 0.3333 0.6667 0.3818 1



(11)
# RbBiPd2 SCAN PBEsol geometry
# Density of states at the Fermi level (states/eV per atom): 0.386
# Formation energy (eV/atom): 0.14
# Calculated volume (A^3/atom): 27.902
data_RbBiPd2
_symmetry_space_group_name_H-M 'I -4 2 d'
_symmetry_Int_Tables_number 122
_symmetry_space_group_name_Hall 'I -4 2bw'
_cell_length_a 7.931
_cell_length_b 7.931
_cell_length_c 7.097
_cell_angle_alpha 90.00
_cell_angle_beta 90.00
_cell_angle_gamma 90.00
loop_
_atom_site_label
_atom_site_type_symbol
_atom_site_fract_x
_atom_site_fract_y
_atom_site_fract_z
_atom_site_occupancy
Rb1 Rb 0.000 0.000 0.000 1
Bi1 Bi 0.000 0.000 0.500 1
Pd1 Pd 0.186 0.750 0.625 1



(12)
# Rb2ReBiPd SCAN PBEsol geometry
# Density of states at the Fermi level (states/eV per atom): 0.765
# Formation energy (eV/atom): 1.43
# Calculated volume (A^3/atom): 47.451
data_Rb2ReBiPd
_symmetry_space_group_name_H-M 'P 4/m m m'
_symmetry_Int_Tables_number 123
_symmetry_space_group_name_Hall '-P 4 2'
_cell_length_a 6.892
_cell_length_b 6.892
_cell_length_c 4.996
_cell_angle_alpha 90.00
_cell_angle_beta 90.00
_cell_angle_gamma 90.00
loop_
_atom_site_label
_atom_site_type_symbol
_atom_site_fract_x
_atom_site_fract_y
_atom_site_fract_z
_atom_site_occupancy
Rb1 Rb 0.000 0.500 0.000 1
Re1 Re 0.000 0.000 0.500 1
Bi1 Bi 0.500 0.500 0.000 1
Pd1 Pd 0.500 0.500 0.500 1



(13)
# ReBi2Pd SCAN PBEsol geometry
# Density of states at the Fermi level (states/eV per atom): 0.923
# Formation energy (eV/atom): 0.94
# Calculated volume (A^3/atom): 28.614
data_ReBi2Pd
_symmetry_space_group_name_H-M 'I -4 2 d'
_symmetry_Int_Tables_number 122
_symmetry_space_group_name_Hall 'I -4 2bw'
_cell_length_a 6.081
_cell_length_b 6.081
_cell_length_c 12.382
_cell_angle_alpha 90.00
_cell_angle_beta 90.00
_cell_angle_gamma 90.00
loop_
_atom_site_label
_atom_site_type_symbol
_atom_site_fract_x
_atom_site_fract_y
_atom_site_fract_z
_atom_site_occupancy
Re1 Re 0.000 0.000 0.000 1
Bi1 Bi 0.245 0.250 0.125 1
Pd1 Pd 0.000 0.000 0.500 1



(14)
# Bi3PdRh SCAN PBEsol geometry
# Density of states at the Fermi level (states/eV per atom): 0.577
# Formation energy (eV/atom): 0.80
# Calculated volume (A^3/atom): 27.739
data_Bi3PdRh
_symmetry_space_group_name_H-M 'P m -3 m'
_symmetry_Int_Tables_number 221
_symmetry_space_group_name_Hall '-P 4 2 3'
_cell_length_a 5.176
_cell_length_b 5.176
_cell_length_c 5.176
_cell_angle_alpha 90.00
_cell_angle_beta 90.00
_cell_angle_gamma 90.00
loop_
_atom_site_label
_atom_site_type_symbol
_atom_site_fract_x
_atom_site_fract_y
_atom_site_fract_z
_atom_site_occupancy
Bi1 Bi 0.000 0.000 0.500 1
Pd1 Pd 0.000 0.000 0.000 1
Rh1 Rh 0.500 0.500 0.500 1



(15)
# BiPdRuRh2 SCAN PBEsol geometry
# Density of states at the Fermi level (states/eV per atom): 0.912
# Formation energy (eV/atom): 1.83
# Calculated volume (A^3/atom): 22.876
data_BiPdRuRh2
_symmetry_space_group_name_H-M 'P 4/m m m'
_symmetry_Int_Tables_number 123
_symmetry_space_group_name_Hall '-P 4 2'
_cell_length_a 4.838
_cell_length_b 4.838
_cell_length_c 4.887
_cell_angle_alpha 90.00
_cell_angle_beta 90.00
_cell_angle_gamma 90.00
loop_
_atom_site_label
_atom_site_type_symbol
_atom_site_fract_x
_atom_site_fract_y
_atom_site_fract_z
_atom_site_occupancy
Bi1 Bi 0.000 0.000 0.000 1
Pd1 Pd 0.500 0.500 0.500 1
Ru1 Ru 0.000 0.000 0.500 1
Rh1 Rh 0.000 0.500 0.000 1



(16)
# BiTePd2Rh SCAN PBEsol geometry
# Density of states at the Fermi level (states/eV per atom): 0.467
# Calculated volume (A^3/atom): 24.219
data_BiTePd2Rh
_symmetry_space_group_name_H-M 'P 4/m m m'
_symmetry_Int_Tables_number 123
_symmetry_space_group_name_Hall '-P 4 2'
_cell_length_a 4.951
_cell_length_b 4.951
_cell_length_c 4.940
_cell_angle_alpha 90.00
_cell_angle_beta 90.00
_cell_angle_gamma 90.00
loop_
_atom_site_label
_atom_site_type_symbol
_atom_site_fract_x
_atom_site_fract_y
_atom_site_fract_z
_atom_site_occupancy
Bi1 Bi 0.000 0.000 0.000 1
Te1 Te 0.500 0.500 0.500 1
Pd1 Pd 0.000 0.500 0.000 1
Rh1 Rh 0.000 0.000 0.500 1



(17)
# Bi3PdRu SCAN PBEsol geometry
# Density of states at the Fermi level (states/eV per atom): 0.734
# Formation energy (eV/atom): 0.70
# Calculated volume (A^3/atom): 27.187
data_Bi3PdRu
_symmetry_space_group_name_H-M 'P m -3 m'
_symmetry_Int_Tables_number 221
_symmetry_space_group_name_Hall '-P 4 2 3'
_cell_length_a 5.142
_cell_length_b 5.142
_cell_length_c 5.142
_cell_angle_alpha 90.00
_cell_angle_beta 90.00
_cell_angle_gamma 90.00
loop_
_atom_site_label
_atom_site_type_symbol
_atom_site_fract_x
_atom_site_fract_y
_atom_site_fract_z
_atom_site_occupancy
Bi1 Bi 0.000 0.000 0.500 1
Pd1 Pd 0.500 0.500 0.500 1
Ru1 Ru 0.000 0.000 0.000 1



(18)
# TcBiPd2Ru SCAN PBEsol geometry
# Density of states at the Fermi level (states/eV per atom): 0.964
# Formation energy (eV/atom): 1.47
# Calculated volume (A^3/atom): 22.163
data_TcBiPd2Ru
_symmetry_space_group_name_H-M 'P 4/m m m'
_symmetry_Int_Tables_number 123
_symmetry_space_group_name_Hall '-P 4 2'
_cell_length_a 4.696
_cell_length_b 4.696
_cell_length_c 5.025
_cell_angle_alpha 90.00
_cell_angle_beta 90.00
_cell_angle_gamma 90.00
loop_
_atom_site_label
_atom_site_type_symbol
_atom_site_fract_x
_atom_site_fract_y
_atom_site_fract_z
_atom_site_occupancy
Tc1 Tc 0.000 0.000 0.000 1
Bi1 Bi 0.500 0.500 0.000 1
Pd1 Pd 0.000 0.500 0.500 1
Ru1 Ru 0.500 0.500 0.500 1



(19)
# Ti2BiPdRu SCAN PBEsol geometry
# Density of states at the Fermi level (states/eV per atom): 0.528
# Formation energy (eV/atom): 1.42
# Calculated volume (A^3/atom): 24.315
data_Ti2BiPdRu
_symmetry_space_group_name_H-M 'P 4/m m m'
_symmetry_Int_Tables_number 123
_symmetry_space_group_name_Hall '-P 4 2'
_cell_length_a 5.039
_cell_length_b 5.039
_cell_length_c 4.788
_cell_angle_alpha 90.00
_cell_angle_beta 90.00
_cell_angle_gamma 90.00
loop_
_atom_site_label
_atom_site_type_symbol
_atom_site_fract_x
_atom_site_fract_y
_atom_site_fract_z
_atom_site_occupancy
Ti1 Ti 0.000 0.500 0.000 1
Bi1 Bi 0.000 0.000 0.000 1
Pd1 Pd 0.000 0.000 0.500 1
Ru1 Ru 0.500 0.500 0.500 1



(20)
# BiPd3S SCAN PBEsol geometry
# Density of states at the Fermi level (states/eV per atom): 0.642
# Calculated volume (A^3/atom): 18.574
data_BiPd3S
_symmetry_space_group_name_H-M 'P m -3 m'
_symmetry_Int_Tables_number 221
_symmetry_space_group_name_Hall '-P 4 2 3'
_cell_length_a 4.529
_cell_length_b 4.529
_cell_length_c 4.529
_cell_angle_alpha 90.00
_cell_angle_beta 90.00
_cell_angle_gamma 90.00
loop_
_atom_site_label
_atom_site_type_symbol
_atom_site_fract_x
_atom_site_fract_y
_atom_site_fract_z
_atom_site_occupancy
Bi1 Bi 0.000 0.000 0.000 1
Pd1 Pd 0.000 0.500 0.500 1
S1 S 0.500 0.500 0.500 1



Results for E: -55.4612; -55.2147; -46.5406; -65.5240; -67.2884; -53.7683; -51.2828; -55.9233; -55.9805; -50.1257; -41.0797; -43.3599; -64.3161; -59.6522; -40.9189; -42.2510; -59.9718; -41.3330; -34.2316; -37.4229 (in eV/atom, following the order of the records).